(1)
# AlSiAg

AlSiAg after structural relaxation (PBE, the Alexandria database).

a b c (Å): 3.224 5.430 6.775
angles (deg): 110.97 90.33 106.61
Positions (direct):
Al1 0.137 0.275 0.158
Al2 0.863 0.725 0.842
Si1 0.408 0.811 0.153
Si2 0.592 0.189 0.847
Ag1 0.363 0.734 0.510
Ag2 0.637 0.266 0.490

Values from the calculation:
Formation energy (no corrections) in eV/atom: 0.15
Final energy in eV/atom: -3.86
Space group: P-1, No. 2

---

(2)
# AlSi2Ag

AlSi2Ag after structural relaxation (PBE, the Alexandria database).

a b c (Å): 2.883 3.782 6.238
angles (deg): 90.00 90.80 90.00
Positions (direct):
Al1 0.000 0.000 0.000
Si1 0.493 0.500 0.793
Si2 0.507 0.500 0.207
Ag1 0.500 0.000 0.500

Values from the calculation:
Formation energy (no corrections) in eV/atom: 0.31
Final energy in eV/atom: -4.05
Space group: P2/m, No. 10

---

(3)
# Al2SiAg

Al2SiAg after structural relaxation (PBE, the Alexandria database).

a b c (Å): 2.776 4.040 5.860
angles (deg): 90.00 91.76 90.00
Positions (direct):
Al1 0.005 0.000 0.259
Al2 0.995 0.000 0.741
Si1 0.500 0.500 0.500
Ag1 0.500 0.500 0.000

Values from the calculation:
Formation energy (no corrections) in eV/atom: 0.14
Final energy in eV/atom: -3.80
Space group: P2/m, No. 10

---

(4)
# AlSiAg2

AlSiAg2 after structural relaxation (PBE, the Alexandria database).

a b c (Å): 8.729 8.729 8.729
angles (deg): 19.76 19.76 19.76
Positions (direct):
Al1 0.000 0.000 0.000
Si1 0.744 0.744 0.744
Ag1 0.251 0.251 0.251
Ag2 0.492 0.492 0.492

Values from the calculation:
Formation energy (no corrections) in eV/atom: 0.15
Final energy in eV/atom: -3.56
Space group: R3m, No. 160